# LiCoOs2

A relaxed structure of LiCoOs2 (GGA-PBE, the Alexandria database).

Lattice parameters (Å, degrees): 2.7343 2.7343 6.7068 90.00 90.00 90.00
Fractional positions:
Li 0.0000 0.0000 0.0000
Co 0.5000 0.5000 0.7821
Os 0.0000 0.0000 0.5360
Os 0.5000 0.5000 0.2611

Properties
calculated total energy	-0.279	hartree per atom
energy of formation from the pure elements	288	meV per atom
total moment	0.00	μB/atom